The following is a PBE calculation of Li2MgGeO4 after structural relaxation, from Alexandria.

Calculated values
crystal system: orthorhombic
calculated total energy: -94.610 eV for the cell shown
ΔE_f (raw): -17.43 eV/f.u.

CIF file:
```
data_Li2MgGeO4
_cell_length_a 6.345
_cell_length_b 5.576
_cell_length_c 5.080
_cell_angle_alpha 90.00
_cell_angle_beta 90.00
_cell_angle_gamma 90.00
_space_group_name_H-M_alt 'P m n 21'
_space_group_IT_number 31
loop_
_space_group_symop_operation_xyz
'x,y,z'
'-x+1/2,-y,z+1/2'
'-x,y,z'
'x+1/2,-y,z+1/2'
loop_
_atom_site_label
_atom_site_type_symbol
_atom_site_fract_x
_atom_site_fract_y
_atom_site_fract_z
Li1 Li 0.249 0.166 0.000
Mg1 Mg 0.000 0.336 0.499
Ge1 Ge 0.000 0.674 0.005
O1 O 0.000 0.369 0.892
O2 O 0.000 0.668 0.356
O3 O 0.232 0.823 0.895
```

The following is a PBE calculation of Rb2O after structural relaxation, from Alexandria.

Calculated values
crystal system: trigonal
calculated total energy: -9.614 eV for the cell shown
ΔE_f (raw): -2.72 eV/f.u.

CIF file:
```
data_Rb2O
_cell_length_a 4.2574
_cell_length_b 4.2574
_cell_length_c 6.9255
_cell_angle_alpha 90.00
_cell_angle_beta 90.00
_cell_angle_gamma 120.00
_space_group_name_H-M_alt 'P -3 m 1'
_space_group_IT_number 164
_space_group_name_Hall '-P 3 2"'
loop_
_atom_site_label
_atom_site_type_symbol
_atom_site_fract_x
_atom_site_fract_y
_atom_site_fract_z
Rb1 Rb 0.3333 0.6667 0.3103
O1 O 0.0000 0.0000 0.5000
```

The following is a PBE calculation of Pm7Sm4Tm after structural relaxation, from Alexandria.

Calculated values
crystal system: triclinic
formation enthalpy at 0 K: 11 meV per atom
calculated total energy: -56.473 eV for the cell shown

CIF file:
```
data_Pm7Sm4Tm
_cell_length_a 6.329
_cell_length_b 7.310
_cell_length_c 9.044
_cell_angle_alpha 89.96
_cell_angle_beta 76.47
_cell_angle_gamma 89.99
_space_group_name_H-M_alt 'P -1'
_space_group_IT_number 2
loop_
_space_group_symop_operation_xyz
'x,y,z'
'-x,-y,-z'
loop_
_atom_site_label
_atom_site_type_symbol
_atom_site_fract_x
_atom_site_fract_y
_atom_site_fract_z
Pm1 Pm 0.000 0.000 0.000
Pm2 Pm 0.221 0.500 0.333
Pm3 Pm 0.278 0.250 0.669
Pm4 Pm 0.500 0.251 0.000
Sm1 Sm 0.223 0.000 0.333
Sm2 Sm 0.278 0.749 0.669
Tm1 Tm 0.000 0.500 0.000
```

Across the entries above, M_tot takes the values 0.00 0.09 0.00 μB per formula unit, respectively.